No. 1
A plane-wave DFT calculation with GGA-PBEsol was carried out for a relaxed structure of Tl2RePb.

```
data_Tl2RePb
_chemical_formula_sum 'Tl2 Re1 Pb1'
_cell_length_a 3.089
_cell_length_b 3.236
_cell_length_c 9.084
_cell_angle_alpha 90.00
_cell_angle_beta 90.00
_cell_angle_gamma 90.00
_space_group_name_H-M_alt 'P m m m'
_space_group_IT_number 47
loop_
_space_group_symop_operation_xyz
'x,y,z'
'-x,-y,-z'
'-x,-y,z'
'x,y,-z'
'x,-y,-z'
'-x,y,z'
'-x,y,-z'
'x,-y,z'
loop_
_atom_site_label
_atom_site_type_symbol
_atom_site_fract_x
_atom_site_fract_y
_atom_site_fract_z
Tl1 Tl 0.000 0.000 0.206
Re1 Re 0.500 0.500 0.000
Pb1 Pb 0.500 0.500 0.500
```

Output
DOS at the Fermi energy: 0.99 states/eV per atom
ΔH_f (0 K): 0.83 eV/atom
Excess energy over the best structure of this formula in the dataset: 0.138 eV/atom
M_tot: 0.001 μB per atom

***

No. 2
A plane-wave DFT calculation with GGA-PBEsol was carried out for a relaxed structure of Tl2RePb.

```
data_Tl2RePb
_chemical_formula_sum 'Tl2 Re1 Pb1'
_cell_length_a 3.187
_cell_length_b 3.187
_cell_length_c 9.202
_cell_angle_alpha 90.00
_cell_angle_beta 90.00
_cell_angle_gamma 90.00
_space_group_name_H-M_alt 'P 4 m m'
_space_group_IT_number 99
loop_
_space_group_symop_operation_xyz
'x,y,z'
'-y,x,z'
'-x,-y,z'
'y,-x,z'
'-x,y,z'
'y,x,z'
'x,-y,z'
'-y,-x,z'
loop_
_atom_site_label
_atom_site_type_symbol
_atom_site_fract_x
_atom_site_fract_y
_atom_site_fract_z
Tl1 Tl 0.000 0.000 0.000
Tl2 Tl 0.500 0.500 0.286
Re1 Re 0.500 0.500 0.799
Pb1 Pb 0.000 0.000 0.599
```

Output
DOS at the Fermi energy: 0.92 states/eV per atom
ΔH_f (0 K): 0.70 eV/atom
Excess energy over the best structure of this formula in the dataset: 0.003 eV/atom
M_tot: 0.000 μB per atom

***

No. 3
A plane-wave DFT calculation with GGA-PBEsol was carried out for a relaxed structure of Tl2RePb.

```
data_Tl2RePb
_chemical_formula_sum 'Tl2 Re1 Pb1'
_cell_length_a 3.325
_cell_length_b 5.021
_cell_length_c 5.662
_cell_angle_alpha 90.00
_cell_angle_beta 105.70
_cell_angle_gamma 90.00
_space_group_name_H-M_alt 'P 1 2/m 1'
_space_group_IT_number 10
loop_
_space_group_symop_operation_xyz
'x,y,z'
'-x,-y,-z'
'-x,y,-z'
'x,-y,z'
loop_
_atom_site_label
_atom_site_type_symbol
_atom_site_fract_x
_atom_site_fract_y
_atom_site_fract_z
Tl1 Tl 0.141 0.000 0.271
Re1 Re 0.500 0.500 0.500
Pb1 Pb 0.500 0.500 0.000
```

Output
DOS at the Fermi energy: 0.62 states/eV per atom
ΔH_f (0 K): 0.94 eV/atom
Excess energy over the best structure of this formula in the dataset: 0.250 eV/atom
M_tot: 0.228 μB per atom

***

No. 4
A plane-wave DFT calculation with GGA-PBEsol was carried out for a relaxed structure of Tl2RePb.

```
data_Tl2RePb
_chemical_formula_sum 'Tl4 Re2 Pb2'
_cell_length_a 3.028
_cell_length_b 4.657
_cell_length_c 14.147
_cell_angle_alpha 90.00
_cell_angle_beta 90.00
_cell_angle_gamma 90.00
_space_group_name_H-M_alt 'I m m m'
_space_group_IT_number 71
_space_group_name_Hall '-I 2 2'
loop_
_atom_site_label
_atom_site_type_symbol
_atom_site_fract_x
_atom_site_fract_y
_atom_site_fract_z
Tl1 Tl 0.000 0.000 0.186
Re1 Re 0.000 0.500 0.500
Pb1 Pb 0.000 0.500 0.000
```

Output
DOS at the Fermi energy: 0.35 states/eV per atom
ΔH_f (0 K): 0.69 eV/atom
Excess energy over the best structure of this formula in the dataset: 0.000 eV/atom
M_tot: 0.000 μB per atom

***

No. 5
A plane-wave DFT calculation with GGA-PBEsol was carried out for a relaxed structure of TlRePb2.

```
data_TlRePb2
_chemical_formula_sum 'Tl3 Re3 Pb6'
_cell_length_a 3.2295
_cell_length_b 3.2295
_cell_length_c 32.0437
_cell_angle_alpha 90.00
_cell_angle_beta 90.00
_cell_angle_gamma 120.00
_space_group_name_H-M_alt 'R -3 m'
_space_group_IT_number 166
_space_group_name_Hall '-R 3 2"'
loop_
_atom_site_label
_atom_site_type_symbol
_atom_site_fract_x
_atom_site_fract_y
_atom_site_fract_z
Tl1 Tl 0.0000 0.0000 0.0000
Re1 Re 0.0000 0.0000 0.5000
Pb1 Pb 0.0000 0.0000 0.2349
```

Output
DOS at the Fermi energy: 0.74 states/eV per atom
ΔH_f (0 K): 0.63 eV/atom
M_tot: 0.000 μB per atom

***

No. 6
A plane-wave DFT calculation with GGA-PBEsol was carried out for a relaxed structure of Re2PbW.

```
data_Re2PbW
_chemical_formula_sum 'Re4 Pb2 W2'
_cell_length_a 3.244
_cell_length_b 4.409
_cell_length_c 9.202
_cell_angle_alpha 90.00
_cell_angle_beta 90.00
_cell_angle_gamma 90.00
_space_group_name_H-M_alt 'I m m 2'
_space_group_IT_number 44
loop_
_space_group_symop_operation_xyz
'x,y,z'
'-x,-y,z'
'-x,y,z'
'x,-y,z'
'x+1/2,y+1/2,z+1/2'
'-x+1/2,-y+1/2,z+1/2'
'-x+1/2,y+1/2,z+1/2'
'x+1/2,-y+1/2,z+1/2'
loop_
_atom_site_label
_atom_site_type_symbol
_atom_site_fract_x
_atom_site_fract_y
_atom_site_fract_z
Re1 Re 0.000 0.000 0.000
Re2 Re 0.000 0.500 0.250
Pb1 Pb 0.000 0.000 0.500
W1 W 0.000 0.500 0.746
```

Output
DOS at the Fermi energy: 0.68 states/eV per atom
ΔH_f (0 K): 0.84 eV/atom
M_tot: 0.000 μB per atom

***

- Which formula does entry 5 have?
  TlRePb2

***

Repeat the first record exactly.
A plane-wave DFT calculation with GGA-PBEsol was carried out for a relaxed structure of Tl2RePb.

```
data_Tl2RePb
_chemical_formula_sum 'Tl2 Re1 Pb1'
_cell_length_a 3.089
_cell_length_b 3.236
_cell_length_c 9.084
_cell_angle_alpha 90.00
_cell_angle_beta 90.00
_cell_angle_gamma 90.00
_space_group_name_H-M_alt 'P m m m'
_space_group_IT_number 47
loop_
_space_group_symop_operation_xyz
'x,y,z'
'-x,-y,-z'
'-x,-y,z'
'x,y,-z'
'x,-y,-z'
'-x,y,z'
'-x,y,-z'
'x,-y,z'
loop_
_atom_site_label
_atom_site_type_symbol
_atom_site_fract_x
_atom_site_fract_y
_atom_site_fract_z
Tl1 Tl 0.000 0.000 0.206
Re1 Re 0.500 0.500 0.000
Pb1 Pb 0.500 0.500 0.500
```

Output
DOS at the Fermi energy: 0.99 states/eV per atom
ΔH_f (0 K): 0.83 eV/atom
Excess energy over the best structure of this formula in the dataset: 0.138 eV/atom
M_tot: 0.001 μB per atom